A) The following is a DFT calculation (PBE) of a geometry-optimized PaBiO structure.

Computed properties:
Its size of the total moment is 0.000 μB per atom. The crystal system is cubic.

Lattice parameters (Å, degrees): 6.382 6.382 6.382 90.00 90.00 90.00
Space group P2_13 (No. 198)
One atom of each set of equivalent atoms:
Pa: 0.096 0.404 0.596 x4
Bi: 0.124 0.876 0.376 x4
O: 0.150 0.650 0.850 x4

=====

B) The following is a DFT calculation (PBE) of a geometry-optimized PaBiO structure.

Computed properties:
Its size of the total moment is 0.000 μB per atom. The crystal system is monoclinic.

Lattice parameters (Å, degrees): 11.666 3.977 6.556 90.00 108.48 90.00
Space group C2/m (No. 12)
One atom of each set of equivalent atoms:
Pa: 0.155 0.000 0.271 x4
Bi: 0.086 0.500 0.819 x4
O: 0.232 0.500 0.375 x4

=====

C) The following is a DFT calculation (PBE) of a geometry-optimized PaBiO structure.

Computed properties:
Its size of the total moment is 0.000 μB per atom. The crystal system is hexagonal.

Lattice parameters (Å, degrees): 3.9291 3.9291 4.8297 90.00 90.00 120.00
Space group P-6m2 (No. 187)
One atom of each set of equivalent atoms:
Pa: 0.0000 0.0000 0.0000 x1
Bi: 0.6667 0.3333 0.5000 x1
O: 0.3333 0.6667 0.0000 x1

=====

Tell me which of them is the most stable. Sure, it is C).

=====

A) The following is a DFT calculation (PBE) of a geometry-optimized Pa2BiO structure.

Computed properties:
Its size of the total moment is 0.245 μB per atom. The crystal system is tetragonal.

Lattice parameters (Å, degrees): 3.194 3.194 8.322 90.00 90.00 90.00
Space group P4/mmm (No. 123)
One atom of each set of equivalent atoms:
Pa: 0.000 0.000 0.182 x2
Bi: 0.500 0.500 0.500 x1
O: 0.500 0.500 0.000 x1

=====

B) The following is a DFT calculation (PBE) of a geometry-optimized Pa2BiO structure.

Computed properties:
Its size of the total moment is 0.450 μB per atom. The crystal system is trigonal.

Lattice parameters (Å, degrees): 3.8033 3.8033 21.3383 90.00 90.00 120.00
Space group R-3m (No. 166, hexagonal axes)
One atom of each set of equivalent atoms:
Pa: 0.0000 0.0000 0.2246 x6
Bi: 0.0000 0.0000 0.0000 x3
O: 0.0000 0.0000 0.5000 x3

=====

Tell me which of them is the most stable. Sure, it is B).

=====

A) The following is a DFT calculation (PBE) of a geometry-optimized Bi2PbO4 structure.

Computed properties:
Its size of the total moment is 0.000 μB per atom. The crystal system is orthorhombic.

Lattice parameters (Å, degrees): 11.906 3.610 11.987 90.00 90.00 90.00
Space group Pnma (No. 62)
One atom of each set of equivalent atoms:
Bi: 0.101 0.250 0.096 x4
Bi: 0.139 0.250 0.748 x4
Pb: 0.125 0.250 0.433 x4
O: 0.022 0.750 0.700 x4
O: 0.049 0.250 0.915 x4
O: 0.221 0.750 0.072 x4
O: 0.242 0.250 0.297 x4

=====

B) The following is a DFT calculation (PBE) of a geometry-optimized Bi2PbO4 structure.

Computed properties:
Its size of the total moment is 0.000 μB per atom. The crystal system is tetragonal.

Lattice parameters (Å, degrees): 7.224 7.224 10.202 90.00 90.00 90.00
Space group I4_1/amd (No. 141, origin choice 2)
One atom of each set of equivalent atoms:
Bi: 0.000 0.000 0.000 x8
Pb: 0.000 0.250 0.375 x4
O: 0.000 0.026 0.763 x16

=====

Tell me which of them is the most stable. Sure, it is B).

=====

A) The following is a DFT calculation (PBE) of a geometry-optimized BiPb2O6 structure.

Computed properties:
Its size of the total moment is 0.000 μB per atom. The crystal system is orthorhombic.

Lattice parameters (Å, degrees): 3.851 5.438 11.536 90.00 90.00 90.00
Space group Immm (No. 71)
One atom of each set of equivalent atoms:
Bi: 0.000 0.000 0.000 x2
Pb: 0.000 0.000 0.332 x4
O: 0.000 0.248 0.500 x4
O: 0.000 0.251 0.167 x8

=====

B) The following is a DFT calculation (PBE) of a geometry-optimized BiPb2O6 structure.

Computed properties:
Its size of the total moment is 0.000 μB per atom. The crystal system is orthorhombic.

Lattice parameters (Å, degrees): 5.178 5.898 9.574 90.00 90.00 90.00
Space group Pnnm (No. 58)
One atom of each set of equivalent atoms:
Bi: 0.000 0.000 0.000 x2
Pb: 0.000 0.500 0.189 x4
O: 0.189 0.326 0.000 x4
O: 0.226 0.834 0.166 x8

=====

Tell me which of them is the most stable. Sure, it is B).